Record 1
A plane-wave DFT calculation with GGA-PBE was carried out for a relaxed Li2BP crystal.

Summary:
The value obtained for the energy above the most stable polymorph in this dataset is 0.021 eV per atom. The space-group type is Fm-3m, No. 225. For the density of states at the Fermi level, the calculation gives 0.050 states/eV per atom. The density is 2.0 g cm⁻³.

Lattice parameters (Å, degrees): 4.005 4.005 4.005 60.00 60.00 60.00
Atoms (fractional coordinates):
Li: 0.250 0.250 0.250
Li: 0.750 0.750 0.750
B: 0.000 0.000 0.000
P: 0.500 0.500 0.500

---

Record 2
A plane-wave DFT calculation with GGA-PBE was carried out for a relaxed LiB3P crystal.

Summary:
The value obtained for the energy above the most stable polymorph in this dataset is 0.000 eV per atom. The space-group type is Pm-3m, No. 221. For the density of states at the Fermi level, the calculation gives 0.426 states/eV per atom. The density is 2.0 g cm⁻³.

Lattice parameters (Å, degrees): 3.878 3.878 3.878 90.00 90.00 90.00
Atoms (fractional coordinates):
Li: 0.000 0.000 0.000
B: 0.000 0.500 0.500
B: 0.500 0.000 0.500
B: 0.500 0.500 0.000
P: 0.500 0.500 0.500

---

Record 3
A plane-wave DFT calculation with GGA-PBE was carried out for a relaxed LiB5P crystal.

Summary:
The space-group type is C2/c, No. 15. The total energy is -0.409 Ry per atom. For the density of states at the Fermi level, the calculation gives 0.146 states/eV per atom. The density is 1.8 g cm⁻³.

Lattice parameters (Å, degrees): 5.733 5.733 5.732 104.49 104.49 95.39
Atoms (fractional coordinates):
Li: 0.249 0.751 0.750
Li: 0.751 0.249 0.250
B: 0.038 0.962 0.250
B: 0.122 0.124 0.062
B: 0.124 0.122 0.562
B: 0.221 0.252 0.369
B: 0.252 0.221 0.869
B: 0.748 0.779 0.131
B: 0.779 0.748 0.631
B: 0.876 0.878 0.438
B: 0.878 0.876 0.938
B: 0.962 0.038 0.750
P: 0.500 0.500 0.000
P: 0.500 0.500 0.500

---

Record 4
A plane-wave DFT calculation with GGA-PBE was carried out for a relaxed Li2BP crystal.

Summary:
The value obtained for the energy above the most stable polymorph in this dataset is 0.000 eV per atom. The space-group type is I-42d, No. 122. For the density of states at the Fermi level, the calculation gives 0.246 states/eV per atom. The density is 2.1 g cm⁻³.

Lattice parameters (Å, degrees): 8.597 8.597 8.597 158.25 158.25 30.94
Atoms (fractional coordinates):
Li: 0.114 0.625 0.989
Li: 0.375 0.364 0.489
Li: 0.636 0.125 0.011
Li: 0.875 0.886 0.511
B: 0.000 0.000 0.000
B: 0.750 0.250 0.500
P: 0.250 0.750 0.500
P: 0.500 0.500 0.000